(P)
# NaHCl2 | the Alexandria database | GGA-PBEsol | relaxed
data_NaHCl2
_symmetry_space_group_name_H-M 'F m -3 m'
_symmetry_Int_Tables_number 225
_symmetry_space_group_name_Hall '-F 4 2 3'
_cell_length_a 6.5061
_cell_length_b 6.5061
_cell_length_c 6.5061
_cell_angle_alpha 90.00
_cell_angle_beta 90.00
_cell_angle_gamma 90.00
loop_
_atom_site_label
_atom_site_type_symbol
_atom_site_fract_x
_atom_site_fract_y
_atom_site_fract_z
Na1 Na 0.0000 0.0000 0.0000
H1 H 0.0000 0.0000 0.5000
Cl1 Cl 0.2500 0.2500 0.2500
# DOS(E_F) = 0.897 states/eV/atom
# V = 275.40 Å³/cell

(Q)
# NaHCl2 | the Alexandria database | GGA-PBEsol | relaxed
data_NaHCl2
_symmetry_space_group_name_H-M 'R -3 m'
_symmetry_Int_Tables_number 166
_symmetry_space_group_name_Hall '-R 3 2"'
_cell_length_a 4.2305
_cell_length_b 4.2305
_cell_length_c 17.5360
_cell_angle_alpha 90.00
_cell_angle_beta 90.00
_cell_angle_gamma 120.00
loop_
_atom_site_label
_atom_site_type_symbol
_atom_site_fract_x
_atom_site_fract_y
_atom_site_fract_z
Na1 Na 0.0000 0.0000 0.0000
H1 H 0.0000 0.0000 0.5000
Cl1 Cl 0.0000 0.0000 0.4115
# DOS(E_F) = 0.000 states/eV/atom
# V = 271.79 Å³/cell

Which of them is most stable? Easy: (Q).

(P)
# HPbCl2 | the Alexandria database | GGA-PBEsol | relaxed
data_HPbCl2
_symmetry_space_group_name_H-M 'R -3 m'
_symmetry_Int_Tables_number 166
_symmetry_space_group_name_Hall '-R 3 2"'
_cell_length_a 3.5859
_cell_length_b 3.5859
_cell_length_c 23.1250
_cell_angle_alpha 90.00
_cell_angle_beta 90.00
_cell_angle_gamma 120.00
loop_
_atom_site_label
_atom_site_type_symbol
_atom_site_fract_x
_atom_site_fract_y
_atom_site_fract_z
H1 H 0.0000 0.0000 0.0000
Pb1 Pb 0.0000 0.0000 0.5000
Cl1 Cl 0.0000 0.0000 0.0672
# DOS(E_F) = 0.208 states/eV/atom
# V = 257.51 Å³/cell

(Q)
# HPbCl2 | the Alexandria database | GGA-PBEsol | relaxed
data_HPbCl2
_symmetry_space_group_name_H-M 'F m -3 m'
_symmetry_Int_Tables_number 225
_symmetry_space_group_name_Hall '-F 4 2 3'
_cell_length_a 6.9042
_cell_length_b 6.9042
_cell_length_c 6.9042
_cell_angle_alpha 90.00
_cell_angle_beta 90.00
_cell_angle_gamma 90.00
loop_
_atom_site_label
_atom_site_type_symbol
_atom_site_fract_x
_atom_site_fract_y
_atom_site_fract_z
H1 H 0.0000 0.0000 0.0000
Pb1 Pb 0.0000 0.0000 0.5000
Cl1 Cl 0.2500 0.2500 0.2500
# DOS(E_F) = 0.000 states/eV/atom
# V = 329.10 Å³/cell

Which of them is most stable? Easy: (P).

(P)
# SnHSCl2 | the Alexandria database | GGA-PBEsol | relaxed
data_SnHSCl2
_symmetry_space_group_name_H-M 'P 4/m m m'
_symmetry_Int_Tables_number 123
_symmetry_space_group_name_Hall '-P 4 2'
_cell_length_a 5.1240
_cell_length_b 5.1240
_cell_length_c 3.3200
_cell_angle_alpha 90.00
_cell_angle_beta 90.00
_cell_angle_gamma 90.00
loop_
_atom_site_label
_atom_site_type_symbol
_atom_site_fract_x
_atom_site_fract_y
_atom_site_fract_z
Sn1 Sn 0.0000 0.0000 0.0000
H1 H 0.5000 0.5000 0.5000
S1 S 0.5000 0.5000 0.0000
Cl1 Cl 0.0000 0.5000 0.5000
# DOS(E_F) = 0.710 states/eV/atom
# V = 87.16 Å³/cell

(Q)
# SnHSCl2 | the Alexandria database | GGA-PBEsol | relaxed
data_SnHSCl2
_symmetry_space_group_name_H-M 'P 4/m m m'
_symmetry_Int_Tables_number 123
_symmetry_space_group_name_Hall '-P 4 2'
_cell_length_a 5.1193
_cell_length_b 5.1193
_cell_length_c 4.8806
_cell_angle_alpha 90.00
_cell_angle_beta 90.00
_cell_angle_gamma 90.00
loop_
_atom_site_label
_atom_site_type_symbol
_atom_site_fract_x
_atom_site_fract_y
_atom_site_fract_z
Sn1 Sn 0.0000 0.0000 0.0000
H1 H 0.5000 0.5000 0.5000
S1 S 0.0000 0.0000 0.5000
Cl1 Cl 0.0000 0.5000 0.0000
# DOS(E_F) = 0.611 states/eV/atom
# V = 127.91 Å³/cell

Which of them is most stable? Easy: (P).

(P)
# HfInCl2 | the Alexandria database | GGA-PBEsol | relaxed
data_HfInCl2
_symmetry_space_group_name_H-M 'R -3 m'
_symmetry_Int_Tables_number 166
_symmetry_space_group_name_Hall '-R 3 2"'
_cell_length_a 3.2103
_cell_length_b 3.2103
_cell_length_c 30.0983
_cell_angle_alpha 90.00
_cell_angle_beta 90.00
_cell_angle_gamma 120.00
loop_
_atom_site_label
_atom_site_type_symbol
_atom_site_fract_x
_atom_site_fract_y
_atom_site_fract_z
Hf1 Hf 0.0000 0.0000 0.0000
In1 In 0.0000 0.0000 0.5000
Cl1 Cl 0.0000 0.0000 0.3931
# DOS(E_F) = 0.557 states/eV/atom
# V = 268.64 Å³/cell

(Q)
# HfInCl2 | the Alexandria database | GGA-PBEsol | relaxed
data_HfInCl2
_symmetry_space_group_name_H-M 'F m -3 m'
_symmetry_Int_Tables_number 225
_symmetry_space_group_name_Hall '-F 4 2 3'
_cell_length_a 6.7624
_cell_length_b 6.7624
_cell_length_c 6.7624
_cell_angle_alpha 90.00
_cell_angle_beta 90.00
_cell_angle_gamma 90.00
loop_
_atom_site_label
_atom_site_type_symbol
_atom_site_fract_x
_atom_site_fract_y
_atom_site_fract_z
Hf1 Hf 0.0000 0.0000 0.0000
In1 In 0.0000 0.0000 0.5000
Cl1 Cl 0.2500 0.2500 0.2500
# DOS(E_F) = 0.539 states/eV/atom
# V = 309.24 Å³/cell

Which of them is most stable? Easy: (P).

(P)
# LiHfP2Cl | the Alexandria database | GGA-PBEsol | relaxed
data_LiHfP2Cl
_symmetry_space_group_name_H-M 'P 4/m m m'
_symmetry_Int_Tables_number 123
_symmetry_space_group_name_Hall '-P 4 2'
_cell_length_a 4.9337
_cell_length_b 4.9337
_cell_length_c 5.0581
_cell_angle_alpha 90.00
_cell_angle_beta 90.00
_cell_angle_gamma 90.00
loop_
_atom_site_label
_atom_site_type_symbol
_atom_site_fract_x
_atom_site_fract_y
_atom_site_fract_z
Li1 Li 0.0000 0.0000 0.0000
Hf1 Hf 0.5000 0.5000 0.5000
P1 P 0.0000 0.5000 0.5000
Cl1 Cl 0.5000 0.5000 0.0000
# DOS(E_F) = 0.747 states/eV/atom
# V = 123.12 Å³/cell

(Q)
# LiHfP2Cl | the Alexandria database | GGA-PBEsol | relaxed
data_LiHfP2Cl
_symmetry_space_group_name_H-M 'P 4/m m m'
_symmetry_Int_Tables_number 123
_symmetry_space_group_name_Hall '-P 4 2'
_cell_length_a 4.3701
_cell_length_b 4.3701
_cell_length_c 4.2673
_cell_angle_alpha 90.00
_cell_angle_beta 90.00
_cell_angle_gamma 90.00
loop_
_atom_site_label
_atom_site_type_symbol
_atom_site_fract_x
_atom_site_fract_y
_atom_site_fract_z
Li1 Li 0.0000 0.0000 0.0000
Hf1 Hf 0.5000 0.5000 0.5000
P1 P 0.0000 0.5000 0.0000
Cl1 Cl 0.0000 0.0000 0.5000
# DOS(E_F) = 0.501 states/eV/atom
# V = 81.50 Å³/cell

Which of them is most stable? Easy: (P).

(P)
# NaHfCl2 | the Alexandria database | GGA-PBEsol | relaxed
data_NaHfCl2
_symmetry_space_group_name_H-M 'I -4 2 d'
_symmetry_Int_Tables_number 122
_symmetry_space_group_name_Hall 'I -4 2bw'
_cell_length_a 7.0481
_cell_length_b 7.0481
_cell_length_c 7.3824
_cell_angle_alpha 90.00
_cell_angle_beta 90.00
_cell_angle_gamma 90.00
loop_
_atom_site_label
_atom_site_type_symbol
_atom_site_fract_x
_atom_site_fract_y
_atom_site_fract_z
Na1 Na 0.0000 0.0000 0.0000
Hf1 Hf 0.0000 0.0000 0.5000
Cl1 Cl 0.2254 0.7500 0.6250
# DOS(E_F) = 0.557 states/eV/atom
# V = 366.73 Å³/cell

(Q)
# NaHfCl2 | the Alexandria database | GGA-PBEsol | relaxed
data_NaHfCl2
_symmetry_space_group_name_H-M 'R -3 m'
_symmetry_Int_Tables_number 166
_symmetry_space_group_name_Hall '-R 3 2"'
_cell_length_a 3.2442
_cell_length_b 3.2442
_cell_length_c 30.1642
_cell_angle_alpha 90.00
_cell_angle_beta 90.00
_cell_angle_gamma 120.00
loop_
_atom_site_label
_atom_site_type_symbol
_atom_site_fract_x
_atom_site_fract_y
_atom_site_fract_z
Na1 Na 0.0000 0.0000 0.0000
Hf1 Hf 0.0000 0.0000 0.5000
Cl1 Cl 0.0000 0.0000 0.1070
# DOS(E_F) = 0.316 states/eV/atom
# V = 274.94 Å³/cell

Which of them is most stable? Easy: (Q).

(P)
# HfP2RhCl | the Alexandria database | GGA-PBEsol | relaxed
data_HfP2RhCl
_symmetry_space_group_name_H-M 'P 4/m m m'
_symmetry_Int_Tables_number 123
_symmetry_space_group_name_Hall '-P 4 2'
_cell_length_a 4.9218
_cell_length_b 4.9218
_cell_length_c 4.6927
_cell_angle_alpha 90.00
_cell_angle_beta 90.00
_cell_angle_gamma 90.00
loop_
_atom_site_label
_atom_site_type_symbol
_atom_site_fract_x
_atom_site_fract_y
_atom_site_fract_z
Hf1 Hf 0.0000 0.0000 0.0000
P1 P 0.0000 0.5000 0.0000
Rh1 Rh 0.5000 0.5000 0.5000
Cl1 Cl 0.0000 0.0000 0.5000
# DOS(E_F) = 1.473 states/eV/atom
# V = 113.68 Å³/cell

(Q)
# HfP2RhCl | the Alexandria database | GGA-PBEsol | relaxed
data_HfP2RhCl
_symmetry_space_group_name_H-M 'P 4/m m m'
_symmetry_Int_Tables_number 123
_symmetry_space_group_name_Hall '-P 4 2'
_cell_length_a 4.5450
_cell_length_b 4.5450
_cell_length_c 4.5089
_cell_angle_alpha 90.00
_cell_angle_beta 90.00
_cell_angle_gamma 90.00
loop_
_atom_site_label
_atom_site_type_symbol
_atom_site_fract_x
_atom_site_fract_y
_atom_site_fract_z
Hf1 Hf 0.0000 0.0000 0.0000
P1 P 0.0000 0.5000 0.5000
Rh1 Rh 0.5000 0.5000 0.5000
Cl1 Cl 0.5000 0.5000 0.0000
# DOS(E_F) = 0.572 states/eV/atom
# V = 93.14 Å³/cell

Which of them is most stable? Easy: (Q).

(P)
# HfSbCl2 | the Alexandria database | GGA-PBEsol | relaxed
data_HfSbCl2
_symmetry_space_group_name_H-M 'R -3 m'
_symmetry_Int_Tables_number 166
_symmetry_space_group_name_Hall '-R 3 2"'
_cell_length_a 3.2967
_cell_length_b 3.2967
_cell_length_c 35.6772
_cell_angle_alpha 90.00
_cell_angle_beta 90.00
_cell_angle_gamma 120.00
loop_
_atom_site_label
_atom_site_type_symbol
_atom_site_fract_x
_atom_site_fract_y
_atom_site_fract_z
Hf1 Hf 0.0000 0.0000 0.0000
Sb1 Sb 0.0000 0.0000 0.5000
Cl1 Cl 0.0000 0.0000 0.0646
# DOS(E_F) = 0.412 states/eV/atom
# V = 335.81 Å³/cell

(Q)
# HfSbCl2 | the Alexandria database | GGA-PBEsol | relaxed
data_HfSbCl2
_symmetry_space_group_name_H-M 'I -4 2 d'
_symmetry_Int_Tables_number 122
_symmetry_space_group_name_Hall 'I -4 2bw'
_cell_length_a 4.3476
_cell_length_b 4.3476
_cell_length_c 18.3366
_cell_angle_alpha 90.00
_cell_angle_beta 90.00
_cell_angle_gamma 90.00
loop_
_atom_site_label
_atom_site_type_symbol
_atom_site_fract_x
_atom_site_fract_y
_atom_site_fract_z
Hf1 Hf 0.0000 0.0000 0.0000
Sb1 Sb 0.0000 0.0000 0.5000
Cl1 Cl 0.2185 0.2500 0.1250
# DOS(E_F) = 0.917 states/eV/atom
# V = 346.59 Å³/cell

Which of them is most stable? Easy: (Q).

(P)
# YHf3Cl | the Alexandria database | GGA-PBEsol | relaxed
data_YHf3Cl
_symmetry_space_group_name_H-M 'P m -3 m'
_symmetry_Int_Tables_number 221
_symmetry_space_group_name_Hall '-P 4 2 3'
_cell_length_a 4.8068
_cell_length_b 4.8068
_cell_length_c 4.8068
_cell_angle_alpha 90.00
_cell_angle_beta 90.00
_cell_angle_gamma 90.00
loop_
_atom_site_label
_atom_site_type_symbol
_atom_site_fract_x
_atom_site_fract_y
_atom_site_fract_z
Y1 Y 0.0000 0.0000 0.0000
Hf1 Hf 0.0000 0.5000 0.5000
Cl1 Cl 0.5000 0.5000 0.5000
# DOS(E_F) = 1.124 states/eV/atom
# V = 111.06 Å³/cell

(Q)
# YHf3Cl | the Alexandria database | GGA-PBEsol | relaxed
data_YHf3Cl
_symmetry_space_group_name_H-M 'P m -3 m'
_symmetry_Int_Tables_number 221
_symmetry_space_group_name_Hall '-P 4 2 3'
_cell_length_a 5.1847
_cell_length_b 5.1847
_cell_length_c 5.1847
_cell_angle_alpha 90.00
_cell_angle_beta 90.00
_cell_angle_gamma 90.00
loop_
_atom_site_label
_atom_site_type_symbol
_atom_site_fract_x
_atom_site_fract_y
_atom_site_fract_z
Y1 Y 0.0000 0.0000 0.0000
Hf1 Hf 0.0000 0.0000 0.5000
Cl1 Cl 0.5000 0.5000 0.5000
# DOS(E_F) = 1.520 states/eV/atom
# V = 139.37 Å³/cell

Which of them is most stable? Easy: (P).

(P)
# HgCl | the Alexandria database | GGA-PBEsol | relaxed
data_HgCl
_symmetry_space_group_name_H-M 'R -3 m'
_symmetry_Int_Tables_number 166
_symmetry_space_group_name_Hall '-R 3 2"'
_cell_length_a 4.1130
_cell_length_b 4.1130
_cell_length_c 10.1396
_cell_angle_alpha 90.00
_cell_angle_beta 90.00
_cell_angle_gamma 120.00
loop_
_atom_site_label
_atom_site_type_symbol
_atom_site_fract_x
_atom_site_fract_y
_atom_site_fract_z
Hg1 Hg 0.0000 0.0000 0.0000
Cl1 Cl 0.0000 0.0000 0.5000
# DOS(E_F) = 0.573 states/eV/atom
# V = 148.55 Å³/cell

(Q)
# HgCl | the Alexandria database | GGA-PBEsol | relaxed
data_HgCl
_symmetry_space_group_name_H-M 'I 4/m m m'
_symmetry_Int_Tables_number 139
_symmetry_space_group_name_Hall '-I 4 2'
_cell_length_a 4.3997
_cell_length_b 4.3997
_cell_length_c 10.9583
_cell_angle_alpha 90.00
_cell_angle_beta 90.00
_cell_angle_gamma 90.00
loop_
_atom_site_label
_atom_site_type_symbol
_atom_site_fract_x
_atom_site_fract_y
_atom_site_fract_z
Hg1 Hg 0.0000 0.0000 0.1172
Cl1 Cl 0.0000 0.0000 0.3400
# DOS(E_F) = 0.000 states/eV/atom
# V = 212.12 Å³/cell

Which of them is most stable? Easy: (Q).

(P)
# HgCl | the Alexandria database | GGA-PBEsol | relaxed
data_HgCl
_symmetry_space_group_name_H-M 'C 1 2/m 1'
_symmetry_Int_Tables_number 12
_cell_length_a 10.8382
_cell_length_b 3.5415
_cell_length_c 6.0947
_cell_angle_alpha 90.00
_cell_angle_beta 123.84
_cell_angle_gamma 90.00
loop_
_symmetry_equiv_pos_as_xyz
'x,y,z'
'-x,-y,-z'
'-x,y,-z'
'x,-y,z'
'x+1/2,y+1/2,z'
'-x+1/2,-y+1/2,-z'
'-x+1/2,y+1/2,-z'
'x+1/2,-y+1/2,z'
loop_
_atom_site_label
_atom_site_type_symbol
_atom_site_fract_x
_atom_site_fract_y
_atom_site_fract_z
Hg1 Hg 0.1310 0.0000 0.3811
Cl1 Cl 0.0865 0.5000 0.8354
# DOS(E_F) = 0.111 states/eV/atom
# V = 194.31 Å³/cell

(Q)
# HgCl | the Alexandria database | GGA-PBEsol | relaxed
data_HgCl
_symmetry_space_group_name_H-M 'P m m a'
_symmetry_Int_Tables_number 51
_cell_length_a 6.2777
_cell_length_b 3.9293
_cell_length_c 3.9709
_cell_angle_alpha 90.00
_cell_angle_beta 90.00
_cell_angle_gamma 90.00
loop_
_symmetry_equiv_pos_as_xyz
'x,y,z'
'-x,-y,-z'
'-x+1/2,-y,z'
'x+1/2,y,-z'
'x+1/2,-y,-z'
'-x+1/2,y,z'
'-x,y,-z'
'x,-y,z'
loop_
_atom_site_label
_atom_site_type_symbol
_atom_site_fract_x
_atom_site_fract_y
_atom_site_fract_z
Hg1 Hg 0.2500 0.0000 0.1480
Cl1 Cl 0.2500 0.5000 0.6490
# DOS(E_F) = 0.455 states/eV/atom
# V = 97.95 Å³/cell

Which of them is most stable? Easy: (P).

(P)
# Hg2Cl | the Alexandria database | GGA-PBEsol | relaxed
data_Hg2Cl
_symmetry_space_group_name_H-M 'C m c m'
_symmetry_Int_Tables_number 63
_symmetry_space_group_name_Hall '-C 2c 2'
_cell_length_a 3.5813
_cell_length_b 22.0534
_cell_length_c 3.7546
_cell_angle_alpha 90.00
_cell_angle_beta 90.00
_cell_angle_gamma 90.00
loop_
_atom_site_label
_atom_site_type_symbol
_atom_site_fract_x
_atom_site_fract_y
_atom_site_fract_z
Hg1 Hg 0.0000 0.0478 0.2500
Hg2 Hg 0.0000 0.2803 0.7500
Cl1 Cl 0.0000 0.3818 0.2500
# DOS(E_F) = 0.277 states/eV/atom
# V = 296.53 Å³/cell

(Q)
# Hg2Cl | the Alexandria database | GGA-PBEsol | relaxed
data_Hg2Cl
_symmetry_space_group_name_H-M 'C 1 2/m 1'
_symmetry_Int_Tables_number 12
_cell_length_a 11.1885
_cell_length_b 4.2702
_cell_length_c 7.5647
_cell_angle_alpha 90.00
_cell_angle_beta 121.29
_cell_angle_gamma 90.00
loop_
_symmetry_equiv_pos_as_xyz
'x,y,z'
'-x,-y,-z'
'-x,y,-z'
'x,-y,z'
'x+1/2,y+1/2,z'
'-x+1/2,-y+1/2,-z'
'-x+1/2,y+1/2,-z'
'x+1/2,-y+1/2,z'
loop_
_atom_site_label
_atom_site_type_symbol
_atom_site_fract_x
_atom_site_fract_y
_atom_site_fract_z
Hg1 Hg 0.0794 0.0000 0.4146
Hg2 Hg 0.2323 0.0000 0.2352
Cl1 Cl 0.1007 0.5000 0.9038
# V = 308.84 Å³/cell

(R)
# Hg2Cl | the Alexandria database | GGA-PBEsol | relaxed
data_Hg2Cl
_symmetry_space_group_name_H-M 'I 4/m m m'
_symmetry_Int_Tables_number 139
_symmetry_space_group_name_Hall '-I 4 2'
_cell_length_a 3.5050
_cell_length_b 3.5050
_cell_length_c 11.0275
_cell_angle_alpha 90.00
_cell_angle_beta 90.00
_cell_angle_gamma 90.00
loop_
_atom_site_label
_atom_site_type_symbol
_atom_site_fract_x
_atom_site_fract_y
_atom_site_fract_z
Hg1 Hg 0.0000 0.0000 0.1723
Cl1 Cl 0.0000 0.0000 0.5000
# DOS(E_F) = 0.265 states/eV/atom
# V = 135.47 Å³/cell

Which of them is most stable? Easy: (Q).